Below is Ce2PrIO4 after structural relaxation, with properties calculated at the PBE-GGA level.

The structure belongs to space group P4/mmm (No. 123); the cell edges are 4.090, 4.090 and 9.474 Å and the angles 90.00°, 90.00° and 90.00°. Symmetry generates all atoms from Ce at (0.000, 0.000, 0.241), Pr at (0.500, 0.500, 0.500), I at (0.500, 0.500, 0.000) and O at (0.000, 0.500, 0.344).

The calculation puts the uncorrected formation energy at -3.051 eV per atom. The total energy comes out at -7.80 eV/atom. Its crystal system is tetragonal.